Entry 1:
Compound: P2HS4
Source: Alexandria via LeMat-Bulk
Functional: GGA-PBE
Structure: relaxed

Geometry as extended XYZ:
```
14
Lattice="7.133 0.000 0.000 -2.908 7.387 0.000 -3.468 -2.059 7.795" Properties=species:S:1:pos:R:3 pbc="T T T"
P 0.000 0.000 0.000
P -2.927 0.089 5.632
P -0.654 -0.319 3.342
P -2.746 3.172 5.801
H -2.683 4.725 3.606
H 1.241 4.466 0.526
S -2.891 5.284 2.378
S -0.731 1.080 1.729
S -1.855 -0.677 7.258
S -1.305 1.696 5.290
S 1.026 5.724 0.069
S 2.532 -1.375 6.132
S 4.421 -0.885 3.772
S 2.839 1.654 5.884
```

Summary:
Space group: P1
Theoretical density in g/cm³: 1.55
Calculated total energy in eV/atom: -4.49

---

Entry 2:
Compound: CoRe
Source: Alexandria via LeMat-Bulk
Functional: GGA-PBE
Structure: relaxed

Geometry as extended XYZ:
```
16
Lattice="5.263 0.000 0.000 0.000 5.275 0.000 0.000 0.000 7.406" Properties=species:S:1:pos:R:3 pbc="T T T"
Co 0.658 0.659 0.926
Co 0.658 3.297 4.629
Co 1.974 1.978 6.481
Co 1.974 4.616 2.777
Co 3.289 0.659 4.629
Co 3.289 3.297 0.926
Co 4.605 1.978 2.777
Co 4.605 4.616 6.481
Re 0.658 0.659 4.629
Re 0.658 3.297 0.926
Re 1.974 1.978 2.777
Re 1.974 4.616 6.481
Re 3.289 0.659 0.926
Re 3.289 3.297 4.629
Re 4.605 1.978 6.481
Re 4.605 4.616 2.777
```

Summary:
Space group: Fddd
Formation energy from the elements in eV/atom: 0.049
N(E_F) in states/eV/f.u.: 2.142
Theoretical density in g/cm³: 15.84
Calculated total energy in eV/atom: -9.73

---

Entry 3:
Compound: AcNdHo3
Source: Alexandria via LeMat-Bulk
Functional: GGA-PBE
Structure: relaxed

Geometry as extended XYZ:
```
20
Lattice="9.459 0.000 0.000 0.000 6.414 0.000 -5.128 0.000 11.443" Properties=species:S:1:pos:R:3 pbc="T T T"
Ac 0.934 1.119 1.164
Ac -1.630 2.088 6.886
Ac 5.961 4.326 4.557
Ac 3.397 5.295 10.278
Nd 2.463 4.269 0.014
Nd -0.101 5.352 5.736
Nd 4.432 1.062 5.707
Nd 1.868 2.145 11.428
Ho -0.568 4.271 2.345
Ho -3.132 5.350 8.066
Ho -1.275 1.043 10.321
Ho 1.289 2.164 4.600
Ho 0.119 4.307 9.147
Ho 2.683 5.313 3.426
Ho 1.648 1.100 8.017
Ho 4.212 2.106 2.295
Ho 3.042 4.250 6.842
Ho 5.606 5.371 1.121
Ho 7.463 1.064 3.376
Ho 4.899 2.143 9.097
```

Summary:
Excess energy over the best structure of this formula in the dataset in meV/atom: 0.0
Space group: P2_1/c
Formation energy from the elements in eV/atom: 0.046
N(E_F) in states/eV/f.u.: 8.484
Theoretical density in g/cm³: 8.29
Calculated total energy in eV/atom: -4.48

---

Entry 4:
Compound: TbMn2Al10
Source: Alexandria via LeMat-Bulk
Functional: GGA-PBE
Structure: relaxed

Geometry as extended XYZ:
```
26
Lattice="4.495 -5.110 0.000 4.495 5.110 0.000 0.000 0.000 9.053" Properties=species:S:1:pos:R:3 pbc="T T T"
Tb 4.495 3.817 6.790
Tb 4.495 -3.817 2.263
Mn 2.247 2.555 0.000
Mn 2.247 2.555 4.526
Mn 2.247 -2.555 0.000
Mn 2.247 -2.555 4.526
Al 2.451 1.423 6.790
Al 4.495 3.517 0.873
Al 4.495 3.517 3.653
Al 3.117 1.323 2.263
Al 2.058 0.000 0.000
Al 2.058 0.000 4.526
Al 4.495 1.289 4.922
Al 4.495 1.289 8.657
Al 2.451 -1.423 2.263
Al 3.117 -1.323 6.790
Al 5.873 1.323 2.263
Al 6.539 1.423 6.790
Al 4.495 -1.289 0.396
Al 4.495 -1.289 4.130
Al 6.932 0.000 0.000
Al 6.932 0.000 4.526
Al 5.873 -1.323 6.790
Al 4.495 -3.517 5.400
Al 4.495 -3.517 8.180
Al 6.539 -1.423 2.263
```

Summary:
Space group: Cmcm
Formation energy from the elements in eV/atom: -0.303
N(E_F) in states/eV/f.u.: 6.495
Theoretical density in g/cm³: 4.30
Calculated total energy in eV/atom: -4.95

---

Entry 5:
Compound: PrPuCu2Ge2
Source: Alexandria via LeMat-Bulk
Functional: GGA-PBE
Structure: relaxed

Geometry as extended XYZ:
```
6
Lattice="4.281 0.000 0.000 -2.141 3.708 0.000 0.000 0.000 7.777" Properties=species:S:1:pos:R:3 pbc="T T T"
Pr 0.000 0.000 0.000
Pu 0.000 0.000 3.888
Cu 0.000 2.472 2.032
Cu 2.141 1.236 5.745
Ge 0.000 2.472 5.739
Ge 2.141 1.236 2.038
```

Summary:
Space group: P-3m1
Formation energy from the elements in eV/atom: -0.482
N(E_F) in states/eV/f.u.: 12.353
Theoretical density in g/cm³: 8.84
Calculated total energy in eV/atom: -6.57

---

Entry 6:
Compound: YPu3As4
Source: Alexandria via LeMat-Bulk
Functional: GGA-PBE
Structure: relaxed

Geometry as extended XYZ:
```
8
Lattice="5.841 0.000 0.000 0.000 5.841 0.000 0.000 0.000 5.841" Properties=species:S:1:pos:R:3 pbc="T T T"
Y 0.000 0.000 0.000
Pu 0.000 2.921 2.921
Pu 2.921 0.000 2.921
Pu 2.921 2.921 0.000
As 0.000 0.000 2.921
As 0.000 2.921 0.000
As 2.921 0.000 0.000
As 2.921 2.921 2.921
```

Summary:
Space group: Pm-3m
Formation energy from the elements in eV/atom: -1.150
N(E_F) in states/eV/f.u.: 29.058
Theoretical density in g/cm³: 9.34
Calculated total energy in eV/atom: -9.66

---

Entry 7:
Compound: LiMgPb2
Source: Alexandria via LeMat-Bulk
Functional: GGA-PBE
Structure: relaxed

Geometry as extended XYZ:
```
8
Lattice="3.455 0.000 0.000 0.000 5.821 0.000 0.000 0.000 11.547" Properties=species:S:1:pos:R:3 pbc="T T T"
Li 0.000 0.000 0.000
Li 1.727 2.910 5.773
Mg 0.000 0.000 5.773
Mg 1.727 2.910 0.000
Pb 0.000 0.000 2.825
Pb 0.000 0.000 8.722
Pb 1.727 2.910 2.948
Pb 1.727 2.910 8.598
```

Summary:
Space group: Immm
Formation energy from the elements in eV/atom: 0.121
N(E_F) in states/eV/f.u.: 2.007
Theoretical density in g/cm³: 6.37
Calculated total energy in eV/atom: -2.61

---

Entry 8:
Compound: NbFe2S
Source: Alexandria via LeMat-Bulk
Functional: GGA-PBE
Structure: relaxed

Geometry as extended XYZ:
```
16
Lattice="5.150 0.000 0.000 0.000 5.150 0.000 0.000 0.000 10.355" Properties=species:S:1:pos:R:3 pbc="T T T"
Nb 0.000 0.000 0.000
Nb 0.000 2.575 2.589
Nb 2.575 0.000 7.766
Nb 2.575 2.575 5.177
Fe 1.017 1.288 6.472
Fe 1.288 3.592 9.060
Fe 1.288 4.133 3.883
Fe 1.558 1.288 1.294
Fe 3.592 3.863 1.294
Fe 3.863 1.017 3.883
Fe 3.863 1.558 9.060
Fe 4.133 3.863 6.472
S 0.000 0.000 5.177
S 0.000 2.575 7.766
S 2.575 0.000 2.589
S 2.575 2.575 0.000
```

Summary:
Space group: I-42d
Formation energy without anion corrections in eV/atom: 0.4411
N(E_F) in states/eV/f.u.: 5.433
Theoretical density in g/cm³: 5.72
Calculated total energy in eV/atom: -7.34

---

Entry 9:
Compound: Ti2VMo6
Source: Alexandria via LeMat-Bulk
Functional: GGA-PBE
Structure: relaxed

Geometry as extended XYZ:
```
9
Lattice="6.504 -2.197 0.000 6.504 2.197 0.000 -1.863 0.000 4.907" Properties=species:S:1:pos:R:3 pbc="T T T"
Ti 1.348 0.000 0.307
Ti 9.797 0.000 4.599
V -0.932 0.000 2.453
Mo 1.734 0.000 3.046
Mo 4.034 0.000 0.846
Mo 4.469 0.000 3.545
Mo 6.675 0.000 1.361
Mo 7.111 0.000 4.060
Mo 9.410 0.000 1.860
```

Summary:
Excess energy over the best structure of this formula in the dataset in meV/atom: 0.0
Space group: C2/m
Formation energy from the elements in eV/atom: -0.134
N(E_F) in states/eV/f.u.: 8.701
Theoretical density in g/cm³: 8.56
Calculated total energy in eV/atom: -10.12

---

Entry 10:
Compound: Ca2Cd3
Source: Alexandria via LeMat-Bulk
Functional: GGA-PBE
Structure: relaxed

Geometry as extended XYZ:
```
10
Lattice="2.989 -5.367 0.000 2.989 5.367 0.000 0.000 0.000 8.875" Properties=species:S:1:pos:R:3 pbc="T T T"
Ca 2.989 3.706 8.027
Ca 2.989 1.661 3.590
Ca 2.989 -1.661 5.285
Ca 2.989 -3.706 0.848
Cd 0.000 0.000 4.437
Cd 1.494 1.135 6.656
Cd 1.494 -1.135 2.219
Cd 2.989 0.000 0.000
Cd 4.483 1.135 6.656
Cd 4.483 -1.135 2.219
```

Summary:
Space group: Cmce
Formation energy from the elements in eV/atom: -0.287
N(E_F) in states/eV/f.u.: 2.921
Theoretical density in g/cm³: 4.87
Calculated total energy in eV/atom: -1.64

---

Entry 11:
Compound: BePt
Source: Alexandria via LeMat-Bulk
Functional: GGA-PBE
Structure: relaxed

Geometry as extended XYZ:
```
12
Lattice="3.914 0.000 0.000 -1.957 3.390 0.000 0.000 0.000 12.502" Properties=species:S:1:pos:R:3 pbc="T T T"
Be 0.000 0.000 1.145
Be 0.000 0.000 11.357
Be 0.000 2.260 7.189
Be 0.000 2.260 9.480
Be 1.957 1.130 3.022
Be 1.957 1.130 5.312
Pt 0.000 0.000 3.352
Pt 0.000 0.000 9.150
Pt 0.000 2.260 4.983
Pt 0.000 2.260 11.686
Pt 1.957 1.130 0.816
Pt 1.957 1.130 7.519
```

Summary:
Space group: R-3m
Formation energy from the elements in eV/atom: -0.271
N(E_F) in states/eV/f.u.: 1.288
Theoretical density in g/cm³: 12.26
Calculated total energy in eV/atom: -5.15

---

Entry 12:
Compound: V2CrCu
Source: Alexandria via LeMat-Bulk
Functional: GGA-PBE
Structure: relaxed

Geometry as extended XYZ:
```
12
Lattice="2.783 0.000 0.000 -1.392 2.411 0.000 0.000 0.000 23.557" Properties=species:S:1:pos:R:3 pbc="T T T"
V 0.000 0.000 5.739
V 0.000 0.000 17.817
V 0.000 1.607 9.965
V 0.000 1.607 21.444
V 1.392 0.804 2.113
V 1.392 0.804 13.591
Cr 0.000 0.000 11.778
Cr 0.000 1.607 3.926
Cr 1.392 0.804 19.631
Cu 0.000 0.000 0.000
Cu 0.000 1.607 15.704
Cu 1.392 0.804 7.852
```

Summary:
Space group: R-3m
Formation energy from the elements in eV/atom: 0.278
N(E_F) in states/eV/f.u.: 4.549
Theoretical density in g/cm³: 6.85
Calculated total energy in eV/atom: -7.71